First-principles (PBE with a Hubbard U) data for AcMoF6 after structural relaxation, as listed in the Alexandria database.

Output
* DFT total energy: -6.13 eV per atom
* magnetic moment: 3.0 μB per formula unit
* symmetry: C2/m (12)

Cell lengths 6.215, 7.478, 5.175 Å; angles 90.00, 98.17, 90.00 degrees
Sites, in units of the cell vectors:
Ac 0.000 0.000 0.000
Ac 0.500 0.500 0.000
Mo 0.000 0.500 0.500
Mo 0.500 0.000 0.500
F 0.141 0.325 0.796
F 0.141 0.675 0.796
F 0.196 0.000 0.617
F 0.304 0.500 0.383
F 0.359 0.175 0.204
F 0.359 0.825 0.204
F 0.641 0.175 0.796
F 0.641 0.825 0.796
F 0.696 0.500 0.617
F 0.804 0.000 0.383
F 0.859 0.325 0.204
F 0.859 0.675 0.204